No. 1
# Ba3Pt2 (GGA-PBE, optimized geometry)
data_Ba3Pt2
_space_group_name_H-M_alt 'P 1'
_space_group_IT_number 1
_cell_length_a 8.4302
_cell_length_b 8.4302
_cell_length_c 8.4302
_cell_angle_alpha 70.99
_cell_angle_beta 70.99
_cell_angle_gamma 70.99
loop_
_space_group_symop_operation_xyz
'x,y,z'
loop_
_atom_site_label
_atom_site_type_symbol
_atom_site_fract_x
_atom_site_fract_y
_atom_site_fract_z
Ba1 Ba 0.0000 0.0000 0.0000
Ba2 Ba 0.3925 0.6760 0.1538
Ba3 Ba 0.2008 0.2008 0.2008
Ba4 Ba 0.8462 0.6075 0.3240
Ba5 Ba 0.6760 0.1538 0.3925
Ba6 Ba 0.3240 0.8462 0.6075
Ba7 Ba 0.1538 0.3925 0.6760
Ba8 Ba 0.7992 0.7992 0.7992
Ba9 Ba 0.6075 0.3240 0.8462
Pt1 Pt 0.8467 0.4087 0.0411
Pt2 Pt 0.5913 0.9589 0.1533
Pt3 Pt 0.0411 0.8467 0.4087
Pt4 Pt 0.9589 0.1533 0.5913
Pt5 Pt 0.4087 0.0411 0.8467
Pt6 Pt 0.1533 0.5913 0.9589
# Offset from the most stable computed form = 0.0 meV per atom
# Symmetry = R-3


No. 2
# ZrCo2Hg (GGA-PBE, optimized geometry)
data_ZrCo2Hg
_space_group_name_H-M_alt 'P 1'
_space_group_IT_number 1
_cell_length_a 4.5085
_cell_length_b 4.5085
_cell_length_c 4.5085
_cell_angle_alpha 60.00
_cell_angle_beta 60.00
_cell_angle_gamma 60.00
loop_
_space_group_symop_operation_xyz
'x,y,z'
loop_
_atom_site_label
_atom_site_type_symbol
_atom_site_fract_x
_atom_site_fract_y
_atom_site_fract_z
Co1 Co 0.0000 0.0000 0.0000
Co2 Co 0.7500 0.7500 0.7500
Hg1 Hg 0.5000 0.5000 0.5000
Zr1 Zr 0.2500 0.2500 0.2500
# Symmetry = F-43m
# Formation energy from the elements = 23.0 kJ per mole of atoms


No. 3
# K2AsWN4 (GGA-PBE, optimized geometry)
data_K2AsWN4
_space_group_name_H-M_alt 'P 1'
_space_group_IT_number 1
_cell_length_a 5.7395
_cell_length_b 5.7395
_cell_length_c 5.7395
_cell_angle_alpha 120.09
_cell_angle_beta 120.09
_cell_angle_gamma 89.85
loop_
_space_group_symop_operation_xyz
'x,y,z'
loop_
_atom_site_label
_atom_site_type_symbol
_atom_site_fract_x
_atom_site_fract_y
_atom_site_fract_z
As1 As 0.0000 0.0000 0.0000
K1 K 0.5000 0.5000 0.0000
K2 K 0.7500 0.2500 0.5000
N1 N 0.1269 0.7526 0.1271
N2 N 0.2474 0.3745 0.3742
N3 N 0.0003 0.8731 0.6258
N4 N 0.6255 0.9997 0.8729
W1 W 0.2500 0.7500 0.5000
# Symmetry = I-4


| no. | theoretical density (g/cm³) | DFT total energy (eV/atom) |
| --- | --- | --- |
| 1 | 7.7 | -4.240 |
| 2 | 10.5 | -5.526 |
| 3 | 4.9 | -6.778 |